Entry 1:
## RbTbCuBr6 (PBE)

Data for an optimized crystal structure of RbTbCuBr6.

Results
M_tot: 0.11 μB/atom
Energy relative to the elements, uncorrected: -1.31 eV per atom

Cell: 6.873 7.025 7.696 Å, 92.49 95.32 113.37°
Sites, in units of the cell vectors:
Rb 0.000 0.000 0.000
Tb 0.372 0.667 0.511
Cu 0.739 0.341 0.470
Br 0.030 0.608 0.263
Br 0.049 0.332 0.655
Br 0.420 0.947 0.783
Br 0.449 0.375 0.278
Br 0.654 0.988 0.326
Br 0.685 0.562 0.705

---

Entry 2:
## LaMg2In2Au2 (PBE)

Data for an optimized crystal structure of LaMg2In2Au2.

Results
M_tot: 0.00 μB/atom
Formation energy from the elements: -3.25 eV/f.u.

Cell: 9.093 9.093 9.093 Å, 29.73 29.73 29.73°
Sites, in units of the cell vectors:
La 0.000 0.000 0.000
Mg 0.138 0.138 0.138
Mg 0.862 0.862 0.862
In 0.260 0.260 0.260
In 0.740 0.740 0.740
Au 0.440 0.440 0.440
Au 0.560 0.560 0.560

---

Entry 3:
## TaBeTe (PBE)

Data for an optimized crystal structure of TaBeTe.

Results
Energy above the lowest structure with this stoichiometry: 894.6 meV per atom
M_tot: 0.00 μB/atom
Energy relative to the elements, uncorrected: 1.03 eV per atom

Cell: 4.441 4.441 4.441 Å, 60.00 60.00 60.00°
Sites, in units of the cell vectors:
Ta 0.000 0.000 0.000
Be 0.500 0.500 0.500
Te 0.250 0.250 0.250

---

Entry 4:
## Ca2CdSe (PBE)

Data for an optimized crystal structure of Ca2CdSe.

Results
Energy above the lowest structure with this stoichiometry: 222.8 meV per atom
M_tot: 0.00 μB/atom
Energy relative to the elements, uncorrected: -0.79 eV per atom

Cell: 6.742 6.742 6.742 Å, 142.44 142.44 54.16°
Sites, in units of the cell vectors:
Ca 0.000 0.000 0.000
Ca 0.750 0.250 0.500
Cd 0.250 0.750 0.500
Se 0.500 0.500 0.000